A plane-wave DFT calculation with PBE+U was carried out for NaAg2MoO4 after structural relaxation.

abc: 4.9464 4.9464 6.7157
angles: 111.54 111.54 90.16
With the nearest neighbours (Å) after each atom.
Fractional coordinates of all 8 atoms:
Na 0.0008 0.0008 0.0016  4 O 2.30
Ag 0.7501 0.2501 0.5003  4 O 2.52-2.53
Ag 0.2501 0.7501 0.5003  4 O 2.52-2.53
Mo 0.4998 0.4998 0.9996  4 O 1.81
O 0.6163 0.6163 0.8133  1 Mo 1.81
O 0.3841 0.8020 0.1860  1 Mo 1.81
O 0.8020 0.3841 0.1860  1 Mo 1.81
O 0.1970 0.1970 0.8133  1 Mo 1.81

The theoretical density is 4.7 g/cm3. As for the total energy: -41.93 eV for the cell shown.